First-principles (GGA-PBE) data for a relaxed structure of InSiHg, as listed in Alexandria.

The structure in extended XYZ format:
```
3
Lattice="-4.736 -0.172 -0.912 2.005 -3.234 2.969 -0.586 2.073 2.653" Properties=species:S:1:pos:R:3 pbc="T T T"
In -2.685 -0.501 1.267
Hg -0.501 1.770 2.266
Si -0.718 -0.530 3.830
```

Values from the calculation:
crystal system	trigonal
uncorrected formation energy	0.394	eV per atom
calculated volume	69	Å³/cell
Fermi-level density of states	1.1	states/eV per cell